Li2AsHPb, relaxed, DFT PBE; SG = P4/mmm; ΔE to the lowest computed polymorph = 60 meV per atom; Fermi-level density of states = 0.264 states/eV/atom
1.0
-3.986 -1.789 0.678
1.129 -3.464 -2.504
1.483 -2.001 3.437
As Li H Pb
1 2 1 1
Direct
0.000 0.000 0.500
0.000 0.500 0.000
0.500 0.000 0.000
0.000 0.000 0.000
0.500 0.500 0.500